# 1
# Y2U2Te2S5

An optimized crystal structure of Y2U2Te2S5 (PBE-GGA, the Alexandria database).

```
11
Lattice="-1.0801 0.7175 -5.0551 -2.8476 -4.3734 -0.0124 -8.1808 8.4244 5.6375" Properties=species:S:1:pos:R:3 pbc="T T T"
Te -7.6209 1.8505 -0.8029
Te -4.4875 2.9180 1.3730
S -2.8242 1.8441 -1.8287
S -3.7080 -0.7014 0.6927
S 0.0000 0.0000 0.0000
S -8.4004 5.4699 -0.1226
S -9.2842 2.9244 2.3987
U -2.0858 1.3563 0.6382
U -10.0226 3.4122 -0.0681
Y -6.9391 4.5121 2.1230
Y -5.1694 0.2564 -1.5530
```

As for the crystal system: tetragonal. As for the total energy: -76.74 eV per cell. Its density of states at the Fermi level is 14.517 states/eV per cell. The theoretical density comes out at 5.219 g cm⁻³. As for the uncorrected formation energy: -30.0 kcal/mol of atoms.

=====

# 2
# Li5PrPt2

An optimized crystal structure of Li5PrPt2 (PBE-GGA, the Alexandria database).

```
8
Lattice="3.9797 0.0000 0.0000 1.9898 6.2098 -0.4714 1.9898 1.4187 6.0639" Properties=species:S:1:pos:R:3 pbc="T T T"
Li 3.9797 5.9751 2.5579
Li 3.9797 3.3915 0.6639
Li 3.9797 1.6535 3.0346
Li 1.9898 3.8143 2.7963
Li 3.9797 4.2370 4.9287
Pt 5.9695 5.8815 4.3117
Pt 1.9898 1.7471 1.2808
Pr 0.0000 0.0000 0.0000
```

As for the crystal system: orthorhombic. As for the total energy: -30.38 eV per cell. Its density of states at the Fermi level is 2.652 states/eV per cell. The theoretical density comes out at 6.160 g cm⁻³.